Record 1
AcLaHoTl | PBE | relaxed

Properties
The value obtained for the energy relative to the elements is 0.001 eV/atom.

Cell and atoms, written as POSCAR:
```
AcLaHoTl
1.0
-3.0442 -4.8171 0.4362
2.3346 -5.0002 -1.4866
1.3046 -3.8510 4.0162
Ac La Tl Ho
1 1 1 1
Direct
0.5000 0.5000 0.5000 Ac
0.7500 0.7500 0.7500 La
0.0000 0.0000 0.0000 Tl
0.2500 0.2500 0.2500 Ho
```

---

Record 2
Sr2TbZnO5 | PBE | relaxed

Properties
The calculation puts the raw formation energy at -2.439 eV per atom.

Cell and atoms, written as POSCAR:
```
Sr2TbZnO5
1.0
3.4749 0.0000 0.0000
-1.7374 7.1952 0.0000
0.0000 0.0000 10.6281
Sr Tb Zn O
4 2 2 10
Direct
0.8719 0.7438 0.7955 Sr
0.1149 0.2298 0.6955 Sr
0.1281 0.2562 0.2955 Sr
0.8851 0.7702 0.1955 Sr
0.7914 0.5828 0.5027 Tb
0.2086 0.4172 0.0027 Tb
0.5054 0.0108 0.9773 Zn
0.4946 0.9892 0.4773 Zn
0.3646 0.7293 0.0063 O
0.6975 0.3950 0.8629 O
0.5015 0.0029 0.7909 O
0.2926 0.5852 0.6479 O
0.9524 0.9048 0.5449 O
0.6354 0.2707 0.5063 O
0.3025 0.6050 0.3629 O
0.4985 0.9971 0.2909 O
0.7074 0.4148 0.1479 O
0.0476 0.0952 0.0449 O
```

---

Record 3
SbPIr | PBE | relaxed

Properties
The calculation puts the raw formation energy at -0.105 eV per atom. The calculation puts the relative energy among the computed polymorphs at 451.9 meV/atom.

Cell and atoms, written as POSCAR:
```
SbPIr
1.0
0.0000 3.0736 3.0736
3.0736 0.0000 3.0736
3.0736 3.0736 0.0000
Sb P Ir
1 1 1
Direct
0.5000 0.5000 0.5000 Sb
0.0000 0.0000 0.0000 P
0.2500 0.2500 0.2500 Ir
```

---

Record 4
La2TcHAu | PBE | relaxed

Properties
The value obtained for the final energy is -5.514 eV/atom.

Cell and atoms, written as POSCAR:
```
La2TcHAu
1.0
-4.5964 -1.7872 1.3915
1.5285 -1.3416 3.3261
-1.0459 4.4670 2.2824
H Au Tc La
1 1 1 2
Direct
0.0000 0.0000 0.0000 H
0.0000 0.5000 0.0000 Au
0.5000 0.5000 0.5000 Tc
0.0000 0.0000 0.5000 La
0.5000 0.0000 0.0000 La
```

---

Total magnetization for the records above, in order: 0.00 0.11 0.00 0.00 μB/atom